# 1
Density functional theory data (GGA-PBE) for crystalline Ba2Y at its relaxed geometry.

Cell: 19.125 19.125 19.125 Å, 168.06 168.06 16.91°
Fractional positions:
1 Ba 0.300 0.550 0.750
2 Ba 0.450 0.700 0.750
3 Ba 0.550 0.300 0.250
4 Ba 0.700 0.450 0.250
5 Y 0.125 0.875 0.250
6 Y 0.875 0.125 0.750

Properties
- DFT total energy (eV per atom) = -3.167
- SG = I4_1/amd

=====

# 2
Density functional theory data (GGA-PBE) for crystalline La2TaNi at its relaxed geometry.

Cell: 9.461 9.461 9.461 Å, 21.19 21.19 21.19°
Fractional positions:
1 La 0.241 0.241 0.241
2 La 0.759 0.759 0.759
3 Ta 0.000 0.000 0.000
4 Ni 0.500 0.500 0.500

Properties
- DFT total energy (eV per atom) = -6.446
- SG = R-3m

=====

# 3
Density functional theory data (GGA-PBE) for crystalline YTlSi3 at its relaxed geometry.

Cell: 5.374 5.374 5.374 Å, 90.00 90.00 90.00°
Fractional positions:
1 Y 0.000 0.000 0.000
2 Tl 0.500 0.500 0.500
3 Si 0.000 0.000 0.500
4 Si 0.000 0.500 0.000
5 Si 0.500 0.000 0.000

Properties
- formation energy (no corrections) (eV per atom) = 0.88
- DFT total energy (eV per atom) = -4.140
- SG = Pm-3m

=====

# 4
Density functional theory data (GGA-PBE) for crystalline Cd2CoMo at its relaxed geometry.

Cell: 4.765 4.765 4.765 Å, 127.40 127.40 77.60°
Fractional positions:
1 Cd 0.000 0.000 0.000
2 Cd 0.750 0.250 0.500
3 Co 0.250 0.750 0.500
4 Mo 0.500 0.500 0.000

Properties
- DFT total energy (eV per atom) = -4.382
- SG = I-4m2

=====

# 5
Density functional theory data (GGA-PBE) for crystalline Be2NiBr at its relaxed geometry.

Cell: 5.843 5.843 5.843 Å, 124.42 124.42 82.50°
Fractional positions:
1 Be 0.091 0.625 0.966
2 Be 0.375 0.341 0.466
3 Be 0.659 0.125 0.034
4 Be 0.875 0.909 0.534
5 Ni 0.000 0.000 0.000
6 Ni 0.750 0.250 0.500
7 Br 0.250 0.750 0.500
8 Br 0.500 0.500 0.000

Properties
- formation energy (no corrections) (eV per atom) = 0.52
- DFT total energy (eV per atom) = -3.202
- SG = I-42d

=====

# 6
Density functional theory data (GGA-PBE) for crystalline Nd3In2Hg6 at its relaxed geometry.

Cell: 16.722 16.722 16.722 Å, 165.06 165.06 21.19°
Fractional positions:
1 Nd 0.000 0.000 0.000
2 Nd 0.175 0.175 0.000
3 Nd 0.825 0.825 0.000
4 In 0.362 0.362 0.000
5 In 0.638 0.638 0.000
6 Hg 0.072 0.572 0.500
7 Hg 0.271 0.271 0.000
8 Hg 0.428 0.928 0.500
9 Hg 0.572 0.072 0.500
10 Hg 0.729 0.729 0.000
11 Hg 0.928 0.428 0.500

Properties
- DFT total energy (eV per atom) = -2.199
- SG = I4/mmm